Record 1
Compound: TbFeTc
Source: the Alexandria database
Functional: PBE
Structure: optimized geometry

Volume ... 400 Å³ per cell

```
data_TbFeTc
_space_group_name_H-M_alt 'F m m m'
_space_group_IT_number 69
_space_group_name_Hall '-F 2 2'
_cell_length_a 5.110
_cell_length_b 8.742
_cell_length_c 8.956
_cell_angle_alpha 90.00
_cell_angle_beta 90.00
_cell_angle_gamma 90.00
loop_
_atom_site_label
_atom_site_fract_x
_atom_site_fract_y
_atom_site_fract_z
Tb1 0.000 0.162 0.000
Fe1 0.250 0.250 0.250
Tc1 0.000 0.000 0.351
```

Record 2
Compound: LiHfGe3
Source: the Alexandria database
Functional: PBE
Structure: optimized geometry

Volume ... 92 Å³ per cell

```
data_LiHfGe3
_space_group_name_H-M_alt 'P m -3 m'
_space_group_IT_number 221
_space_group_name_Hall '-P 4 2 3'
_cell_length_a 4.506
_cell_length_b 4.506
_cell_length_c 4.506
_cell_angle_alpha 90.00
_cell_angle_beta 90.00
_cell_angle_gamma 90.00
loop_
_atom_site_label
_atom_site_fract_x
_atom_site_fract_y
_atom_site_fract_z
Li1 0.000 0.000 0.000
Hf1 0.500 0.500 0.500
Ge1 0.000 0.000 0.500
```

Record 3
Compound: MnZn2Au2
Source: the Alexandria database
Functional: PBE
Structure: optimized geometry

Volume ... 165 Å³ per cell

```
data_MnZn2Au2
_space_group_name_H-M_alt 'P 1 21/m 1'
_space_group_IT_number 11
_cell_length_a 5.172
_cell_length_b 2.887
_cell_length_c 11.259
_cell_angle_alpha 90.00
_cell_angle_beta 100.45
_cell_angle_gamma 90.00
loop_
_space_group_symop_operation_xyz
'x,y,z'
'-x,-y,-z'
'-x,y+1/2,-z'
'x,-y+1/2,z'
loop_
_atom_site_label
_atom_site_fract_x
_atom_site_fract_y
_atom_site_fract_z
Mn1 0.007 0.250 0.211
Zn1 0.196 0.250 0.602
Zn2 0.219 0.250 0.994
Au1 0.300 0.750 0.405
Au2 0.499 0.750 0.179
```

Number 1: calculated formation energy 215.4 meV per atom. Number 2: calculated formation energy 394.4 meV per atom. Number 3: calculated formation energy -54.5 meV per atom.